Entry 1:
First-principles (GGA-PBE) data for Ca2Zn2Ge after structural relaxation, as listed in the Alexandria database.

abc: 5.791 5.791 11.033
angles: 114.42 114.42 44.31
Atoms (fractional coordinates):
Ca1 0.020 0.020 0.342
Ca2 0.197 0.197 0.112
Ca3 0.803 0.803 0.888
Ca4 0.980 0.980 0.658
Zn1 0.359 0.359 0.445
Zn2 0.489 0.489 0.113
Zn3 0.511 0.511 0.887
Zn4 0.641 0.641 0.555
Ge1 0.277 0.277 0.665
Ge2 0.723 0.723 0.335

Magnetization (μB/atom): 0.000
DFT total energy (eV for the cell shown): -26.461
Calculated volume (Å³ per atom): 23.13

---

Entry 2:
First-principles (GGA-PBE) data for Ca2Zn3Ge4 after structural relaxation, as listed in the Alexandria database.

abc: 8.288 8.288 7.817
angles: 90.00 90.00 138.40
Atoms (fractional coordinates):
Ca1 0.110 0.890 0.910
Ca2 0.390 0.610 0.410
Ca3 0.610 0.390 0.590
Ca4 0.890 0.110 0.090
Zn1 0.000 0.000 0.500
Zn2 0.029 0.471 0.750
Zn3 0.471 0.029 0.250
Zn4 0.500 0.500 0.000
Zn5 0.529 0.971 0.750
Zn6 0.971 0.529 0.250
Ge1 0.182 0.818 0.532
Ge2 0.194 0.306 0.750
Ge3 0.306 0.194 0.250
Ge4 0.318 0.682 0.032
Ge5 0.682 0.318 0.968
Ge6 0.694 0.806 0.750
Ge7 0.806 0.694 0.250
Ge8 0.818 0.182 0.468

Magnetization (μB/atom): 0.000
DFT total energy (eV for the cell shown): -57.455
Calculated volume (Å³ per atom): 19.80

---

Entry 3:
First-principles (GGA-PBE) data for Ca2ZnGe after structural relaxation, as listed in the Alexandria database.

abc: 3.488 6.113 11.927
angles: 90.00 90.00 90.00
Atoms (fractional coordinates):
Ca1 0.000 0.000 0.249
Ca2 0.000 0.000 0.751
Ca3 0.500 0.500 0.251
Ca4 0.500 0.500 0.749
Zn1 0.000 0.000 0.500
Zn2 0.500 0.500 0.000
Ge1 0.000 0.000 0.000
Ge2 0.500 0.500 0.500

Magnetization (μB/atom): 0.000
DFT total energy (eV for the cell shown): -16.095
Distance to the lowest polymorph of the same formula (eV per atom): 0.9596
Calculated volume (Å³ per atom): 31.79

---

Entry 4:
First-principles (GGA-PBE) data for Ca3Zn2Ge2 after structural relaxation, as listed in the Alexandria database.

abc: 10.840 4.573 7.031
angles: 90.00 108.20 90.00
Atoms (fractional coordinates):
Ca1 0.000 0.000 0.000
Ca2 0.165 0.000 0.617
Ca3 0.335 0.500 0.383
Ca4 0.500 0.500 0.000
Ca5 0.665 0.500 0.617
Ca6 0.835 0.000 0.383
Zn1 0.191 0.500 0.937
Zn2 0.309 0.000 0.063
Zn3 0.691 0.000 0.937
Zn4 0.809 0.500 0.063
Ge1 0.035 0.500 0.328
Ge2 0.465 0.000 0.672
Ge3 0.535 0.000 0.328
Ge4 0.965 0.500 0.672

Magnetization (μB/atom): 0.000
DFT total energy (eV for the cell shown): -42.313
Calculated volume (Å³ per atom): 23.65

---

Entry 5:
First-principles (GGA-PBE) data for Ca2ZnGe after structural relaxation, as listed in the Alexandria database.

abc: 7.293 7.293 7.293
angles: 90.00 90.00 90.00
Atoms (fractional coordinates):
Ca1 0.250 0.250 0.250
Ca2 0.250 0.250 0.750
Ca3 0.250 0.750 0.250
Ca4 0.250 0.750 0.750
Ca5 0.750 0.250 0.250
Ca6 0.750 0.250 0.750
Ca7 0.750 0.750 0.250
Ca8 0.750 0.750 0.750
Zn1 0.000 0.000 0.000
Zn2 0.000 0.500 0.500
Zn3 0.500 0.000 0.500
Zn4 0.500 0.500 0.000
Ge1 0.000 0.000 0.500
Ge2 0.000 0.500 0.000
Ge3 0.500 0.000 0.000
Ge4 0.500 0.500 0.500

Magnetization (μB/atom): 0.000
DFT total energy (eV for the cell shown): -47.104
Distance to the lowest polymorph of the same formula (eV per atom): 0.0274
Calculated volume (Å³ per atom): 24.24

---

Entry 6:
First-principles (GGA-PBE) data for CaZnGe2 after structural relaxation, as listed in the Alexandria database.

abc: 4.735 4.735 17.133
angles: 90.00 90.00 90.00
Atoms (fractional coordinates):
Ca1 0.000 0.000 0.000
Ca2 0.000 0.500 0.250
Ca3 0.500 0.000 0.750
Ca4 0.500 0.500 0.500
Zn1 0.000 0.000 0.500
Zn2 0.000 0.500 0.750
Zn3 0.500 0.000 0.250
Zn4 0.500 0.500 0.000
Ge1 0.151 0.250 0.625
Ge2 0.250 0.651 0.875
Ge3 0.250 0.849 0.375
Ge4 0.349 0.250 0.125
Ge5 0.651 0.750 0.125
Ge6 0.750 0.151 0.375
Ge7 0.750 0.349 0.875
Ge8 0.849 0.750 0.625

Magnetization (μB/atom): 0.000
DFT total energy (eV for the cell shown): -52.261
Calculated volume (Å³ per atom): 24.01

---

Entry 7:
First-principles (GGA-PBE) data for CaZn2Ge after structural relaxation, as listed in the Alexandria database.

abc: 4.129 4.129 9.726
angles: 90.00 90.00 90.00
Atoms (fractional coordinates):
Ca1 0.250 0.250 0.245
Ca2 0.750 0.750 0.755
Zn1 0.250 0.250 0.941
Zn2 0.250 0.750 0.500
Zn3 0.750 0.250 0.500
Zn4 0.750 0.750 0.059
Ge1 0.250 0.250 0.665
Ge2 0.750 0.750 0.335

Magnetization (μB/atom): 0.000
DFT total energy (eV for the cell shown): -20.746
Calculated volume (Å³ per atom): 20.73

---

Entry 8:
First-principles (GGA-PBE) data for Ca2Zn2Ge after structural relaxation, as listed in the Alexandria database.

abc: 6.604 6.604 9.222
angles: 107.65 107.65 37.82
Atoms (fractional coordinates):
Ca1 0.115 0.115 0.401
Ca2 0.144 0.144 0.001
Ca3 0.856 0.856 0.999
Ca4 0.885 0.885 0.599
Zn1 0.383 0.383 0.303
Zn2 0.468 0.468 0.851
Zn3 0.532 0.532 0.149
Zn4 0.617 0.617 0.697
Ge1 0.245 0.245 0.738
Ge2 0.755 0.755 0.262

Magnetization (μB/atom): 0.000
DFT total energy (eV for the cell shown): -26.146
Calculated volume (Å³ per atom): 23.36

---

Entry 9:
First-principles (GGA-PBE) data for Ca2Zn2Ge after structural relaxation, as listed in the Alexandria database.

abc: 7.060 7.060 4.617
angles: 90.00 90.00 90.00
Atoms (fractional coordinates):
Ca1 0.184 0.316 0.000
Ca2 0.316 0.816 0.000
Ca3 0.684 0.184 0.000
Ca4 0.816 0.684 0.000
Zn1 0.123 0.623 0.500
Zn2 0.377 0.123 0.500
Zn3 0.623 0.877 0.500
Zn4 0.877 0.377 0.500
Ge1 0.000 0.000 0.500
Ge2 0.500 0.500 0.500

Magnetization (μB/atom): 0.000
DFT total energy (eV for the cell shown): -25.276
Calculated volume (Å³ per atom): 23.01

---

Entry 10:
First-principles (GGA-PBE) data for Ca5Zn4Ge after structural relaxation, as listed in the Alexandria database.

abc: 3.646 3.646 18.524
angles: 90.00 90.00 90.00
Atoms (fractional coordinates):
Ca1 0.000 0.000 0.000
Ca2 0.000 0.000 0.201
Ca3 0.000 0.000 0.402
Ca4 0.000 0.000 0.598
Ca5 0.000 0.000 0.799
Zn1 0.500 0.500 0.099
Zn2 0.500 0.500 0.300
Zn3 0.500 0.500 0.700
Zn4 0.500 0.500 0.901
Ge1 0.500 0.500 0.500

Magnetization (μB/atom): 0.000
DFT total energy (eV for the cell shown): -22.707
Calculated volume (Å³ per atom): 24.63

---

Entry 11:
First-principles (GGA-PBE) data for CaZn2Ge2 after structural relaxation, as listed in the Alexandria database.

abc: 7.699 7.699 3.295
angles: 90.00 90.00 90.00
Atoms (fractional coordinates):
Ca1 0.000 0.000 0.000
Ca2 0.500 0.500 0.000
Zn1 0.119 0.381 0.000
Zn2 0.381 0.881 0.000
Zn3 0.619 0.119 0.000
Zn4 0.881 0.619 0.000
Ge1 0.178 0.678 0.500
Ge2 0.322 0.178 0.500
Ge3 0.678 0.822 0.500
Ge4 0.822 0.322 0.500

Magnetization (μB/atom): 0.000
DFT total energy (eV for the cell shown): -28.698
Calculated volume (Å³ per atom): 19.53

---

Entry 12:
First-principles (GGA-PBE) data for Ca2Zn3Ge after structural relaxation, as listed in the Alexandria database.

abc: 8.949 8.583 5.821
angles: 74.05 67.24 38.71
Atoms (fractional coordinates):
Ca1 0.246 0.754 0.754
Ca2 0.250 0.250 0.250
Ca3 0.750 0.750 0.750
Ca4 0.754 0.246 0.246
Zn1 0.167 0.167 0.833
Zn2 0.169 0.666 0.334
Zn3 0.334 0.831 0.169
Zn4 0.666 0.169 0.831
Zn5 0.831 0.334 0.666
Zn6 0.833 0.833 0.167
Ge1 0.335 0.335 0.665
Ge2 0.665 0.665 0.335

Magnetization (μB/atom): 0.000
DFT total energy (eV for the cell shown): -29.614
Calculated volume (Å³ per atom): 21.46

---

Entry 13:
First-principles (GGA-PBE) data for Ca2ZnGe after structural relaxation, as listed in the Alexandria database.

abc: 5.186 5.186 3.612
angles: 90.00 90.00 90.00
Atoms (fractional coordinates):
Ca1 0.000 0.500 0.000
Ca2 0.500 0.000 0.000
Zn1 0.000 0.000 0.500
Ge1 0.500 0.500 0.500

Magnetization (μB/atom): 0.000
DFT total energy (eV for the cell shown): -11.608
Distance to the lowest polymorph of the same formula (eV per atom): 0.0693
Calculated volume (Å³ per atom): 24.29

---

Entry 14:
First-principles (GGA-PBE) data for Ca2ZnGe after structural relaxation, as listed in the Alexandria database.

abc: 6.099 4.378 8.067
angles: 90.00 109.53 90.00
Atoms (fractional coordinates):
Ca1 0.204 0.250 0.424
Ca2 0.218 0.250 0.931
Ca3 0.782 0.750 0.069
Ca4 0.796 0.750 0.576
Zn1 0.366 0.750 0.220
Zn2 0.634 0.250 0.780
Ge1 0.355 0.750 0.713
Ge2 0.645 0.250 0.287

Magnetization (μB/atom): 0.000
DFT total energy (eV for the cell shown): -23.771
Distance to the lowest polymorph of the same formula (eV per atom): 0.0000
Calculated volume (Å³ per atom): 25.38

---

Entry 15:
First-principles (GGA-PBE) data for CaZn4Ge3 after structural relaxation, as listed in the Alexandria database.

abc: 4.407 4.407 7.990
angles: 90.00 90.00 90.00
Atoms (fractional coordinates):
Ca1 0.000 0.000 0.000
Zn1 0.000 0.500 0.321
Zn2 0.000 0.500 0.679
Zn3 0.500 0.000 0.321
Zn4 0.500 0.000 0.679
Ge1 0.000 0.000 0.500
Ge2 0.500 0.500 0.155
Ge3 0.500 0.500 0.845

Magnetization (μB/atom): 0.000
DFT total energy (eV for the cell shown): -22.316
Calculated volume (Å³ per atom): 19.40

---

Entry 16:
First-principles (GGA-PBE) data for CaZn2Ge2 after structural relaxation, as listed in the Alexandria database.

abc: 4.241 4.241 11.080
angles: 90.00 90.00 90.00
Atoms (fractional coordinates):
Ca1 0.000 0.000 0.000
Ca2 0.500 0.500 0.500
Zn1 0.000 0.000 0.391
Zn2 0.000 0.000 0.609
Zn3 0.500 0.500 0.109
Zn4 0.500 0.500 0.891
Ge1 0.000 0.500 0.250
Ge2 0.000 0.500 0.750
Ge3 0.500 0.000 0.250
Ge4 0.500 0.000 0.750

Magnetization (μB/atom): 0.000
DFT total energy (eV for the cell shown): -30.269
Calculated volume (Å³ per atom): 19.93

---

Entry 17:
First-principles (GGA-PBE) data for Ca2ZnGe2 after structural relaxation, as listed in the Alexandria database.

abc: 5.831 5.831 10.592
angles: 116.31 116.31 45.70
Atoms (fractional coordinates):
Ca1 0.009 0.009 0.329
Ca2 0.183 0.183 0.103
Ca3 0.817 0.817 0.897
Ca4 0.991 0.991 0.671
Zn1 0.280 0.280 0.648
Zn2 0.720 0.720 0.352
Ge1 0.361 0.361 0.441
Ge2 0.481 0.481 0.115
Ge3 0.519 0.519 0.885
Ge4 0.639 0.639 0.559

Magnetization (μB/atom): 0.000
DFT total energy (eV for the cell shown): -34.599
Calculated volume (Å³ per atom): 22.60

---

Entry 18:
First-principles (GGA-PBE) data for CaZn3Ge3 after structural relaxation, as listed in the Alexandria database.

abc: 6.933 6.933 6.933
angles: 90.00 90.00 90.00
Atoms (fractional coordinates):
Ca1 0.000 0.000 0.000
Ca2 0.500 0.500 0.500
Zn1 0.000 0.250 0.500
Zn2 0.000 0.750 0.500
Zn3 0.250 0.500 0.000
Zn4 0.500 0.000 0.250
Zn5 0.500 0.000 0.750
Zn6 0.750 0.500 0.000
Ge1 0.000 0.500 0.250
Ge2 0.000 0.500 0.750
Ge3 0.250 0.000 0.500
Ge4 0.500 0.250 0.000
Ge5 0.500 0.750 0.000
Ge6 0.750 0.000 0.500

Magnetization (μB/atom): 0.000
DFT total energy (eV for the cell shown): -37.898
Calculated volume (Å³ per atom): 23.81

---

Entry 19:
First-principles (GGA-PBE) data for Ca2Zn2Ge after structural relaxation, as listed in the Alexandria database.

abc: 5.864 5.864 7.463
angles: 90.00 90.00 90.00
Atoms (fractional coordinates):
Ca1 0.000 0.500 0.250
Ca2 0.000 0.500 0.750
Ca3 0.500 0.000 0.250
Ca4 0.500 0.000 0.750
Zn1 0.000 0.000 0.158
Zn2 0.000 0.000 0.842
Zn3 0.500 0.500 0.342
Zn4 0.500 0.500 0.658
Ge1 0.000 0.000 0.500
Ge2 0.500 0.500 0.000

Magnetization (μB/atom): 0.000
DFT total energy (eV for the cell shown): -23.234
Calculated volume (Å³ per atom): 25.67

---

Entry 20:
First-principles (GGA-PBE) data for CaZn2Ge after structural relaxation, as listed in the Alexandria database.

abc: 4.741 4.741 17.508
angles: 90.00 90.00 90.00
Atoms (fractional coordinates):
Ca1 0.000 0.000 0.000
Ca2 0.000 0.500 0.250
Ca3 0.500 0.000 0.750
Ca4 0.500 0.500 0.500
Zn1 0.041 0.250 0.625
Zn2 0.250 0.541 0.875
Zn3 0.250 0.959 0.375
Zn4 0.459 0.250 0.125
Zn5 0.541 0.750 0.125
Zn6 0.750 0.041 0.375
Zn7 0.750 0.459 0.875
Zn8 0.959 0.750 0.625
Ge1 0.000 0.000 0.500
Ge2 0.000 0.500 0.750
Ge3 0.500 0.000 0.250
Ge4 0.500 0.500 0.000

Magnetization (μB/atom): 0.000
DFT total energy (eV for the cell shown): -38.124
Calculated volume (Å³ per atom): 24.59